Density functional theory data (GGA-PBE) for a geometry-optimized TaCuB4 structure.

Summary:
Volume = 9.1 Å³/atom
Polymorph energy (0 for the lowest one) = 0.00 eV/f.u.
E = -43.3 eV for the cell shown
Spin magnetization = 0.000 μB/atom
SG = P6/mmm, No. 191

Cell: 3.024 3.024 6.918 Å, 90.00 90.00 120.00°
Fractional coordinates of all 6 atoms:
B  0.667  0.333  0.255
B  0.333  0.667  0.255
B  0.667  0.333  0.745
B  0.333  0.667  0.745
Cu  0.000  0.000  0.000
Ta  0.000  0.000  0.500

---

Density functional theory data (GGA-PBE) for a geometry-optimized TaCuTcB structure.

Summary:
Volume = 13.2 Å³/atom
Polymorph energy (0 for the lowest one) = 0.00 eV/f.u.
E = -30.5 eV for the cell shown
Spin magnetization = 0.001 μB/atom
SG = F-43m, No. 216

Cell: 4.213 4.213 4.213 Å, 60.00 60.00 60.00°
Fractional coordinates of all 4 atoms:
B  0.000  0.000  0.000
Cu  0.750  0.750  0.750
Ta  0.500  0.500  0.500
Tc  0.250  0.250  0.250

---

Density functional theory data (GGA-PBE) for a geometry-optimized TaCuTcB structure.

Summary:
Volume = 13.3 Å³/atom
Polymorph energy (0 for the lowest one) = 0.35 eV/f.u.
E = -30.2 eV for the cell shown
Spin magnetization = 0.001 μB/atom
SG = F-43m, No. 216

Cell: 4.224 4.224 4.224 Å, 60.00 60.00 60.00°
Fractional coordinates of all 4 atoms:
B  0.000  0.000  0.000
Cu  0.750  0.750  0.750
Ta  0.250  0.250  0.250
Tc  0.500  0.500  0.500

---

Density functional theory data (GGA-PBE) for a geometry-optimized YTaCuB structure.

Summary:
Volume = 16.9 Å³/atom
Polymorph energy (0 for the lowest one) = 0.24 eV/f.u.
E = -23.9 eV for the cell shown
Spin magnetization = 0.662 μB/atom
SG = F-43m, No. 216

Cell: 4.570 4.570 4.570 Å, 60.00 60.00 60.00°
Fractional coordinates of all 4 atoms:
B  0.000  0.000  0.000
Cu  0.750  0.750  0.750
Ta  0.500  0.500  0.500
Y  0.250  0.250  0.250

---

Density functional theory data (GGA-PBE) for a geometry-optimized YTaCuB structure.

Summary:
Volume = 15.9 Å³/atom
Polymorph energy (0 for the lowest one) = 0.00 eV/f.u.
E = -24.2 eV for the cell shown
Spin magnetization = 0.451 μB/atom
SG = F-43m, No. 216

Cell: 4.481 4.481 4.481 Å, 60.00 60.00 60.00°
Fractional coordinates of all 4 atoms:
B  0.000  0.000  0.000
Cu  0.750  0.750  0.750
Ta  0.250  0.250  0.250
Y  0.500  0.500  0.500

---

Density functional theory data (GGA-PBE) for a geometry-optimized ZrTaCuB structure.

Summary:
Volume = 15.0 Å³/atom
Polymorph energy (0 for the lowest one) = 0.00 eV/f.u.
E = -27.0 eV for the cell shown
Spin magnetization = 0.004 μB/atom
SG = F-43m, No. 216

Cell: 4.395 4.395 4.395 Å, 60.00 60.00 60.00°
Fractional coordinates of all 4 atoms:
B  0.000  0.000  0.000
Cu  0.750  0.750  0.750
Ta  0.250  0.250  0.250
Zr  0.500  0.500  0.500

---

Density functional theory data (GGA-PBE) for a geometry-optimized CuTcB2 structure.

Summary:
Volume = 10.1 Å³/atom
E = -23.1 eV for the cell shown
Spin magnetization = 0.000 μB/atom
SG = F-43m, No. 216

Cell: 3.850 3.850 3.850 Å, 60.00 60.00 60.00°
Fractional coordinates of all 4 atoms:
B  0.000  0.000  0.000
B  0.750  0.750  0.750
Cu  0.250  0.250  0.250
Tc  0.500  0.500  0.500

---

Density functional theory data (GGA-PBE) for a geometry-optimized CuTcB4 structure.

Summary:
Volume = 8.5 Å³/atom
Polymorph energy (0 for the lowest one) = 0.00 eV/f.u.
E = -40.1 eV for the cell shown
Spin magnetization = 0.005 μB/atom
SG = Immm, No. 71

Cell: 4.451 4.451 4.451 Å, 140.86 107.67 85.46°
Fractional coordinates of all 6 atoms:
B  0.591  0.253  0.338
B  0.085  0.747  0.338
B  0.915  0.253  0.662
B  0.409  0.747  0.662
Cu  0.000  0.000  0.000
Tc  0.500  0.500  0.000

---

Copy entry 6 word for word.
Density functional theory data (GGA-PBE) for a geometry-optimized ZrTaCuB structure.

Summary:
Volume = 15.0 Å³/atom
Polymorph energy (0 for the lowest one) = 0.00 eV/f.u.
E = -27.0 eV for the cell shown
Spin magnetization = 0.004 μB/atom
SG = F-43m, No. 216

Cell: 4.395 4.395 4.395 Å, 60.00 60.00 60.00°
Fractional coordinates of all 4 atoms:
B  0.000  0.000  0.000
Cu  0.750  0.750  0.750
Ta  0.250  0.250  0.250
Zr  0.500  0.500  0.500

---

Question: Among the records above, which one has the highest volume?
Answer: number 4